(1)
{
  "formula": "Pr3CdPd12",
  "functional": "PBE",
  "state": "optimized geometry",
  "mass_density_g_cm3": 10.331,
  "energy_ha_per_atom": -0.2004,
  "delta_e_f_kj_per_mol_atoms": -58.5,
  "cell": [[-2.208, -2.715, -2.300], [3.503, -1.181, -1.968], [2.487, -11.745, 11.477]],
  "species": ["Pd", "Pr", "Cd", "Pr", "Pd", "Pd", "Pd", "Pd", "Pd", "Pd", "Pd", "Pr", "Pd", "Pd", "Pd", "Pd"],
  "fractional_positions": [[0.000, 0.500, 0.628], [0.000, 0.000, 0.500], [0.000, 0.000, 0.000], [0.000, 0.000, 0.757], [0.500, 0.000, 0.884], [0.500, 0.500, 0.500], [0.000, 0.500, 0.884], [0.500, 0.000, 0.628], [0.500, 0.500, 0.755], [0.500, 0.000, 0.116], [0.000, 0.500, 0.116], [0.000, 0.000, 0.243], [0.500, 0.500, 0.245], [0.000, 0.500, 0.372], [0.500, 0.000, 0.372], [0.500, 0.500, 0.000]]
}

(2)
{
  "formula": "Pr4Cd5Pd2",
  "functional": "PBE",
  "state": "optimized geometry",
  "mass_density_g_cm3": 7.568,
  "energy_ha_per_atom": -0.1310,
  "delta_e_f_kj_per_mol_atoms": -44.9,
  "cell": [[3.857, 0.000, 0.000], [0.000, 7.801, 0.014], [0.000, -0.736, 9.760]],
  "species": ["Cd", "Pd", "Cd", "Pd", "Cd", "Cd", "Cd", "Pr", "Pr", "Pr", "Pr"],
  "fractional_positions": [[0.000, 0.551, 0.312], [0.000, 0.068, 0.637], [0.000, 0.500, 0.000], [0.000, 0.932, 0.363], [0.000, 0.449, 0.688], [0.000, 0.185, 0.152], [0.000, 0.815, 0.848], [0.500, 0.172, 0.859], [0.500, 0.762, 0.557], [0.500, 0.828, 0.141], [0.500, 0.238, 0.443]]
}

Copy entry 1 word for word.
{
  "formula": "Pr3CdPd12",
  "functional": "PBE",
  "state": "optimized geometry",
  "mass_density_g_cm3": 10.331,
  "energy_ha_per_atom": -0.2004,
  "delta_e_f_kj_per_mol_atoms": -58.5,
  "cell": [[-2.208, -2.715, -2.300], [3.503, -1.181, -1.968], [2.487, -11.745, 11.477]],
  "species": ["Pd", "Pr", "Cd", "Pr", "Pd", "Pd", "Pd", "Pd", "Pd", "Pd", "Pd", "Pr", "Pd", "Pd", "Pd", "Pd"],
  "fractional_positions": [[0.000, 0.500, 0.628], [0.000, 0.000, 0.500], [0.000, 0.000, 0.000], [0.000, 0.000, 0.757], [0.500, 0.000, 0.884], [0.500, 0.500, 0.500], [0.000, 0.500, 0.884], [0.500, 0.000, 0.628], [0.500, 0.500, 0.755], [0.500, 0.000, 0.116], [0.000, 0.500, 0.116], [0.000, 0.000, 0.243], [0.500, 0.500, 0.245], [0.000, 0.500, 0.372], [0.500, 0.000, 0.372], [0.500, 0.500, 0.000]]
}